Record 1
The following is a DFT calculation (PBE-GGA) of Cu4Se5 after structural relaxation.

Properties
- Crystal system: hexagonal
- Space group: P6_3/mcm, No. 193
- E above lowest polymorph: 0 meV/atom
- Formation energy from raw total energies: 164.5 meV/atom

```
Cu4Se5
1.0
7.1876 0.0000 0.0000
-3.5938 6.2247 0.0000
0.0000 0.0000 7.2032
Se Cu
10 8
Cartesian
-2.7067 4.6882 1.8008 Se
0.0000 4.1498 0.0000 Se
0.0000 4.1498 3.6016 Se
2.7067 4.6882 5.4024 Se
5.4134 0.0000 1.8008 Se
-0.8871 1.5365 5.4024 Se
3.5938 2.0749 0.0000 Se
3.5938 2.0749 3.6016 Se
1.7742 0.0000 5.4024 Se
0.8871 1.5365 1.8008 Se
1.4888 2.5786 5.4024 Cu
2.9775 0.0000 1.8008 Cu
-2.1050 3.6460 5.4024 Cu
4.2101 0.0000 5.4024 Cu
-1.4888 2.5786 1.8008 Cu
0.0000 0.0000 3.6016 Cu
0.0000 0.0000 0.0000 Cu
2.1050 3.6460 1.8008 Cu
```

---

Record 2
The following is a DFT calculation (PBE-GGA) of NdHoCdRu after structural relaxation.

Properties
- Crystal system: cubic
- Space group: F-43m, No. 216
- Energy of formation: -0.2227 eV per atom
- E above lowest polymorph: 104 meV/atom

```
NdHoCdRu
1.0
-3.4983 0.5643 3.6763
1.3865 -0.2701 4.9068
-0.0093 4.2088 2.8910
Ho Ru Nd Cd
1 1 1 1
Cartesian
0.0000 0.0000 0.0000 Ho
-1.5908 3.3772 8.6055 Ru
-1.0605 2.2515 5.7370 Nd
-0.5303 1.1257 2.8685 Cd
```

---

Record 3
The following is a DFT calculation (PBE-GGA) of SrPdN2O after structural relaxation.

Properties
- Crystal system: tetragonal
- Space group: P4/mmm, No. 123
- Formation energy from raw total energies: 180.8 meV/atom

```
SrPdN2O
1.0
-2.8343 -2.3214 1.5481
-1.0086 -1.2051 -3.6536
2.8790 -3.3157 0.2990
N Sr O Pd
2 1 1 1
Cartesian
-1.4171 -1.1607 0.7740 N
-0.5043 -0.6026 -1.8268 N
-0.4819 -3.4211 -0.9033 Sr
1.4395 -1.6579 0.1495 O
0.0000 0.0000 0.0000 Pd
```

---

Record 4
The following is a DFT calculation (PBE-GGA) of TbY3Er3S8 after structural relaxation.

Properties
- Crystal system: trigonal
- Space group: R-3m, No. 166
- Formation energy from raw total energies: -2041.2 meV/atom

```
TbY3Er3S8
1.0
-4.5636 -0.6142 6.2544
-1.1299 -4.6667 -6.1055
6.2806 -0.9337 4.4912
Er S Y Tb
3 8 3 1
Cartesian
2.5753 -2.8002 -0.8072 Er
0.8585 -0.7740 5.3728 Er
0.2936 -3.1073 2.3200 Er
0.4047 -0.4062 2.7057 S
-0.1172 -2.7400 -0.3548 S
0.7043 -3.4746 4.9948 S
-1.8401 -0.7084 5.7821 S
0.1824 -5.8084 1.9344 S
2.4272 -5.5062 -1.1421 S
-2.3959 -3.0038 2.7789 S
2.9831 -3.2108 1.8611 S
-0.5650 -2.3333 -3.0528 Y
0.0000 0.0000 0.0000 Y
-2.8467 -2.6404 0.0744 Y
3.1403 -0.4669 2.2456 Tb
```

---

Record 5
The following is a DFT calculation (PBE-GGA) of BaPu2PtO8 after structural relaxation.

Properties
- Crystal system: triclinic
- Space group: P-1, No. 2
- Formation energy from raw total energies: -2133.5 meV/atom

```
BaPu2PtO8
1.0
-0.1549 -4.7029 -2.8290
5.3776 -0.7833 -1.0122
1.0492 -4.0784 5.6199
O Ba Pt Pu
8 1 1 2
Cartesian
1.0999 -4.6152 -1.2751 O
3.9471 -5.7146 0.4584 O
3.3986 -3.6181 -2.4211 O
1.9114 -7.2631 1.9784 O
4.3606 -2.3015 -0.1997 O
5.1721 -4.9494 3.0537 O
2.8733 -5.9465 4.1998 O
2.3249 -3.8500 1.3203 O
0.5246 -2.0392 2.8099 Ba
0.0000 0.0000 0.0000 Pt
2.8749 -3.7332 -0.5856 Pu
3.3970 -5.8314 2.3643 Pu
```

---

Record 6
The following is a DFT calculation (PBE-GGA) of CeMgCl2 after structural relaxation.

Properties
- Crystal system: trigonal
- Space group: R-3m, No. 166
- Formation energy from raw total energies: -1042.5 meV/atom

```
CeMgCl2
1.0
-0.3815 -3.3405 1.0492
1.6632 -2.5863 -1.7178
7.5893 -1.0522 5.3213
Ce Cl Mg
1 2 1
Cartesian
0.0000 0.0000 0.0000 Ce
5.1421 -1.3677 3.4269 Cl
3.7289 -5.6113 1.2259 Cl
4.4355 -3.4895 2.3264 Mg
```

---

Record 7
The following is a DFT calculation (PBE-GGA) of PaRhSe6 after structural relaxation.

Properties
- Crystal system: triclinic
- Space group: P-1, No. 2
- Formation energy from raw total energies: -492.4 meV/atom

```
PaRhSe6
1.0
-6.3732 0.4059 -0.4835
-4.0142 -4.6654 2.4776
-2.3778 0.3724 6.0129
Pa Se Rh
1 6 1
Cartesian
-6.3826 -1.9436 4.0035 Pa
-5.4664 -1.0037 1.4315 Se
-7.2987 -2.8834 6.5755 Se
-2.1819 0.0825 1.2912 Se
-9.0494 -2.2717 2.7850 Se
-3.7157 -1.6154 5.2220 Se
-10.5833 -3.9697 6.7158 Se
0.0000 0.0000 0.0000 Rh
```

---

Record 8
The following is a DFT calculation (PBE-GGA) of K4BrCl2 after structural relaxation.

Properties
- Crystal system: tetragonal
- Space group: I4/mmm, No. 139
- E above lowest polymorph: 181 meV/atom
- Formation energy from raw total energies: -1409.9 meV/atom

```
K4BrCl2
1.0
-5.5876 -2.5534 0.2799
0.8829 -2.5383 -5.5315
0.8753 -9.2171 0.9507
K Cl Br
4 2 1
Cartesian
-3.3529 -7.8858 -3.7537 K
0.4414 -1.2691 -2.7657 K
-2.7938 -1.2767 0.1399 K
-0.4765 -6.4230 -0.5473 K
-1.6386 -4.0212 -1.8349 Cl
-2.1909 -10.2876 -2.4661 Cl
0.0000 0.0000 0.0000 Br
```

---

Record 9
The following is a DFT calculation (PBE-GGA) of Ho5AlCd2 after structural relaxation.

Properties
- Crystal system: tetragonal
- Space group: I4/mcm, No. 140
- Energy of formation: -0.1889 eV per atom

```
Ho5AlCd2
1.0
-2.7160 -4.4156 -5.6896
6.8572 0.2734 -3.4856
0.0606 -4.0261 8.3021
Ho Cd Al
10 4 2
Cartesian
3.3199 -4.8178 0.4449 Ho
0.7013 -5.5113 -4.7612 Ho
-0.5750 -5.7126 1.2108 Ho
0.8819 -3.3505 -1.3179 Ho
2.0706 -2.0711 -4.5876 Ho
3.5006 -2.6569 3.8881 Ho
0.0000 0.0000 0.0000 Ho
-0.3944 -3.5518 4.6541 Ho
4.5962 -4.6165 -5.5271 Ho
4.7769 -2.4556 -2.0838 Ho
-0.8215 -2.7444 -4.0333 Cd
2.1885 -0.4707 -2.0283 Cd
4.9628 -1.3978 -5.1419 Cd
1.9527 -3.6715 -7.1469 Cd
1.0656 -3.0486 1.8573 Al
3.1362 -5.1197 -2.7303 Al
```

---

Record 10
The following is a DFT calculation (PBE-GGA) of Rb2TaTcBr6 after structural relaxation.

Properties
- Crystal system: tetragonal
- Space group: I4/mmm, No. 139
- Formation energy from raw total energies: -627.2 meV/atom

```
Rb2TaTcBr6
1.0
7.6982 0.0000 0.0000
0.0000 7.6982 0.0000
3.8491 3.8491 5.3506
Br Ta Rb Tc
6 1 2 1
Cartesian
5.8238 5.8238 0.0000 Br
1.8744 5.8238 0.0000 Br
3.8491 3.8491 2.7437 Br
7.6982 7.6982 2.6070 Br
1.8744 1.8744 0.0000 Br
5.8238 1.8744 0.0000 Br
0.0000 0.0000 0.0000 Ta
7.6982 3.8491 2.6753 Rb
3.8491 7.6982 2.6753 Rb
3.8491 3.8491 0.0000 Tc
```

---

Record 11
The following is a DFT calculation (PBE-GGA) of Ac2CdRh after structural relaxation.

Properties
- Crystal system: trigonal
- Space group: R-3m, No. 166
- Energy of formation: -0.4868 eV per atom

```
Ac2CdRh
1.0
4.2788 0.0000 0.0000
2.1394 3.7055 0.0000
2.1394 1.2352 8.5744
Cd Ac Rh
1 2 1
Cartesian
4.2788 2.4703 4.2872 Cd
2.1394 1.2352 1.6716 Ac
6.4181 3.7055 6.9028 Ac
0.0000 0.0000 0.0000 Rh
```

---

Record 12
The following is a DFT calculation (PBE-GGA) of NaLaS2 after structural relaxation.

Properties
- Crystal system: trigonal
- Space group: R-3m, No. 166
- Formation energy from raw total energies: -1668.3 meV/atom

```
NaLaS2
1.0
-7.9563 2.2641 1.7412
-7.7894 -2.0118 2.5960
-6.3281 0.8602 5.5386
S Na La
2 1 1
Cartesian
-19.7189 0.9937 8.8222 S
-2.3549 0.1187 1.0536 S
0.0000 0.0000 0.0000 Na
-11.0369 0.5562 4.9379 La
```

---

Please write out number 6 again, unchanged.
The following is a DFT calculation (PBE-GGA) of CeMgCl2 after structural relaxation.

Properties
- Crystal system: trigonal
- Space group: R-3m, No. 166
- Formation energy from raw total energies: -1042.5 meV/atom

```
CeMgCl2
1.0
-0.3815 -3.3405 1.0492
1.6632 -2.5863 -1.7178
7.5893 -1.0522 5.3213
Ce Cl Mg
1 2 1
Cartesian
0.0000 0.0000 0.0000 Ce
5.1421 -1.3677 3.4269 Cl
3.7289 -5.6113 1.2259 Cl
4.4355 -3.4895 2.3264 Mg
```